Record 1
## Al2IrBr (GGA-PBE)

Data for a relaxed structure of Al2IrBr.

The space group is P4mm (No. 99) and the conventional cell measures 3.4888, 3.4888 and 7.9869 Å, with angles of 90.00, 90.00 and 90.00 degrees. The asymmetric unit holds Al at (0.0000, 0.0000, 0.0000), Al at (0.5000, 0.5000, 0.3045), Ir at (0.5000, 0.5000, 0.0140) and Br at (0.0000, 0.0000, 0.4747).

The value obtained for the density of states at the Fermi level is 0.513 states/eV/atom. The polymorph energy (0 for the lowest one) comes out at 343 meV/atom. The crystal system is tetragonal. The total energy comes out at -4.675 eV per atom.

Record 2
## Ho2Er3Th4 (GGA-PBE)

Data for a relaxed structure of Ho2Er3Th4.

The space group is C2/c (No. 15) and the conventional cell measures 16.3151, 10.3627 and 6.9571 Å, with angles of 90.00, 102.33 and 90.00 degrees. The asymmetric unit holds Ho at (0.1734, 0.1732, 0.3335), Er at (0.0000, 0.0009, 0.2500), Er at (0.1620, 0.4982, 0.8304), Th at (0.9997, 0.3255, 0.5020) and Th at (0.1722, 0.1707, 0.8374).

The value obtained for the density of states at the Fermi level is 1.659 states/eV/atom. The polymorph energy (0 for the lowest one) comes out at 102 meV/atom. As for the formation enthalpy at 0 K: 0.14 eV per atom. The crystal system is monoclinic. The total energy comes out at -5.694 eV per atom.

Record 3
## SrCa2AlAu4 (GGA-PBE)

Data for a relaxed structure of SrCa2AlAu4.

The space group is R-3m (No. 166, hexagonal axes) and the conventional cell measures 5.0561, 5.0561 and 25.6070 Å, with angles of 90.00, 90.00 and 120.00 degrees. The asymmetric unit holds Sr at (0.0000, 0.0000, 0.0000), Ca at (0.0000, 0.0000, 0.2409), Al at (0.0000, 0.0000, 0.5000), Au at (0.0000, 0.0000, 0.1262) and Au at (0.0000, 0.0000, 0.3967).

The value obtained for the density of states at the Fermi level is 0.449 states/eV/atom. As for the formation enthalpy at 0 K: -0.65 eV per atom. The crystal system is trigonal. The total energy comes out at -3.467 eV per atom.

Record 4
## Tb2HfSc (GGA-PBE)

Data for a relaxed structure of Tb2HfSc.

The space group is P4/mmm (No. 123) and the conventional cell measures 4.7809, 4.7809 and 4.7006 Å, with angles of 90.00, 90.00 and 90.00 degrees. The asymmetric unit holds Tb at (0.0000, 0.5000, 0.0000), Hf at (0.0000, 0.0000, 0.5000) and Sc at (0.5000, 0.5000, 0.5000).

The value obtained for the density of states at the Fermi level is 1.363 states/eV/atom. The polymorph energy (0 for the lowest one) comes out at 13 meV/atom. As for the formation enthalpy at 0 K: 0.13 eV per atom. The crystal system is tetragonal. The total energy comes out at -6.252 eV per atom.

Record 5
## Hf2SnGe (GGA-PBE)

Data for a relaxed structure of Hf2SnGe.

The space group is R-3m (No. 166, hexagonal axes) and the conventional cell measures 3.1778, 3.1778 and 28.5586 Å, with angles of 90.00, 90.00 and 120.00 degrees. The asymmetric unit holds Hf at (0.0000, 0.0000, 0.2456), Sn at (0.0000, 0.0000, 0.0000) and Ge at (0.0000, 0.0000, 0.5000).

The value obtained for the density of states at the Fermi level is 0.747 states/eV/atom. The polymorph energy (0 for the lowest one) comes out at 167 meV/atom. As for the formation enthalpy at 0 K: -0.19 eV per atom. The crystal system is trigonal. The total energy comes out at -7.322 eV per atom.

Record 6
## AlTe3Pt (GGA-PBE)

Data for a relaxed structure of AlTe3Pt.

The space group is Pm-3m (No. 221) and the conventional cell measures 5.3616, 5.3616 and 5.3616 Å, with angles of 90.00, 90.00 and 90.00 degrees. The asymmetric unit holds Al at (0.0000, 0.0000, 0.0000), Te at (0.0000, 0.5000, 0.5000) and Pt at (0.5000, 0.5000, 0.5000).

The value obtained for the density of states at the Fermi level is 1.488 states/eV/atom. The polymorph energy (0 for the lowest one) comes out at 0 meV/atom. The crystal system is cubic. The total energy comes out at -3.437 eV per atom.

Record 7
## LiCd4Pt2 (GGA-PBE)

Data for a relaxed structure of LiCd4Pt2.

The space group is R-3m (No. 166, hexagonal axes) and the conventional cell measures 4.6379, 4.6379 and 22.1679 Å, with angles of 90.00, 90.00 and 120.00 degrees. The asymmetric unit holds Li at (0.0000, 0.0000, 0.0000), Cd at (0.0000, 0.0000, 0.1290), Cd at (0.0000, 0.0000, 0.3832) and Pt at (0.0000, 0.0000, 0.2548).

The value obtained for the density of states at the Fermi level is 0.407 states/eV/atom. As for the formation enthalpy at 0 K: -0.36 eV per atom. The crystal system is trigonal. The total energy comes out at -2.887 eV per atom.

Record 8
## Fe2Re (GGA-PBE)

Data for a relaxed structure of Fe2Re.

The space group is P6_3/mmc (No. 194) and the conventional cell measures 4.6279, 4.6279 and 7.6782 Å, with angles of 90.00, 90.00 and 120.00 degrees. The asymmetric unit holds Fe at (0.0000, 0.0000, 0.0000), Fe at (0.1699, 0.3398, 0.2500) and Re at (0.3333, 0.6667, 0.5643).

The value obtained for the density of states at the Fermi level is 0.821 states/eV/atom. As for the formation enthalpy at 0 K: -0.01 eV per atom. The crystal system is hexagonal. The total energy comes out at -9.799 eV per atom.

Record 9
## ZnCd2Ag6 (GGA-PBE)

Data for a relaxed structure of ZnCd2Ag6.

The space group is Immm (No. 71) and the conventional cell measures 4.8065, 8.1353 and 8.7313 Å, with angles of 90.00, 90.00 and 90.00 degrees. The asymmetric unit holds Zn at (0.0000, 0.0000, 0.0000), Cd at (0.0000, 0.0000, 0.3300), Ag at (0.0000, 0.3077, 0.1634) and Ag at (0.0000, 0.3230, 0.5000).

The value obtained for the density of states at the Fermi level is 0.307 states/eV/atom. The polymorph energy (0 for the lowest one) comes out at 0 meV/atom. As for the formation enthalpy at 0 K: 0.03 eV per atom. The crystal system is orthorhombic. The total energy comes out at -2.215 eV per atom.

Record 10
## MgZnP2 (GGA-PBE)

Data for a relaxed structure of MgZnP2.

The space group is P4/mmm (No. 123) and the conventional cell measures 3.5748, 3.5748 and 5.2756 Å, with angles of 90.00, 90.00 and 90.00 degrees. The asymmetric unit holds Mg at (0.0000, 0.0000, 0.0000), Zn at (0.0000, 0.0000, 0.5000) and P at (0.5000, 0.5000, 0.2883).

The value obtained for the density of states at the Fermi level is 0.324 states/eV/atom. The polymorph energy (0 for the lowest one) comes out at 187 meV/atom. As for the formation enthalpy at 0 K: 0.03 eV per atom. The crystal system is tetragonal. The total energy comes out at -3.393 eV per atom.

Record 11
## Tb3DyHoTh (GGA-PBE)

Data for a relaxed structure of Tb3DyHoTh.

The space group is P2_1/m (No. 11) and the conventional cell measures 10.6483, 3.5662 and 10.6541 Å, with angles of 90.00, 109.30 and 90.00 degrees. The asymmetric unit holds Tb at (0.0419, 0.2500, 0.3711), Tb at (0.2909, 0.7500, 0.6245), Tb at (0.4576, 0.7500, 0.1263), Dy at (0.3737, 0.2500, 0.3728), Ho at (0.2068, 0.2500, 0.8786) and Th at (0.1230, 0.7500, 0.1237).

The value obtained for the density of states at the Fermi level is 1.394 states/eV/atom. As for the formation enthalpy at 0 K: 0.02 eV per atom. The crystal system is monoclinic. The total energy comes out at -5.060 eV per atom.

Record 12
## HfC2Cl (GGA-PBE)

Data for a relaxed structure of HfC2Cl.

The space group is I-42d (No. 122) and the conventional cell measures 5.0640, 5.0640 and 11.1355 Å, with angles of 90.00, 90.00 and 90.00 degrees. The asymmetric unit holds Hf at (0.0000, 0.0000, 0.0000), C at (0.2090, 0.2500, 0.1250) and Cl at (0.0000, 0.0000, 0.5000).

The value obtained for the density of states at the Fermi level is 0.820 states/eV/atom. The polymorph energy (0 for the lowest one) comes out at 0 meV/atom. The crystal system is tetragonal. The total energy comes out at -5.982 eV per atom.